1.
PBEsol ScCo2As, relaxed; calculated volume = 52.79 Å³/f.u.; magnetic moment = 0.0 Bohr magnetons per cell; ΔH_f (0 K) = -363 meV per atom; space-group type = Cm; raw total energy = -7.16 eV per atom
1.0
4.235 -1.650 0.000
4.235 1.650 0.000
-1.259 0.000 3.776
Sc Co As
1 2 1
direct
0.000 0.000 0.000 Sc
0.247 0.247 0.787 Co
0.481 0.481 0.466 Co
0.761 0.761 0.353 As

***

2.
PBEsol ScCo2As, relaxed; calculated volume = 54.21 Å³/f.u.; magnetic moment = 1.5 Bohr magnetons per cell; ΔH_f (0 K) = -119 meV per atom; space-group type = C2/m; raw total energy = -6.91 eV per atom
1.0
2.692 -4.069 0.000
2.692 4.069 0.000
-1.434 0.000 2.475
Sc Co As
1 2 1
direct
0.000 0.000 0.000 Sc
0.000 0.500 0.500 Co
0.500 0.000 0.500 Co
0.500 0.500 0.000 As

***

3.
PBEsol ScCo2As, relaxed; calculated volume = 59.12 Å³/f.u.; magnetic moment = 0.0 Bohr magnetons per cell; ΔH_f (0 K) = -27 meV per atom; space-group type = I-42d; raw total energy = -6.82 eV per atom
1.0
-3.317 3.317 2.687
3.317 -3.317 2.687
3.317 3.317 -2.687
Sc Co As
2 4 2
direct
0.000 0.000 0.000 Sc
0.750 0.250 0.500 Sc
0.176 0.625 0.051 Co
0.375 0.426 0.551 Co
0.574 0.125 0.949 Co
0.875 0.824 0.449 Co
0.250 0.750 0.500 As
0.500 0.500 0.000 As

***

4.
PBEsol ScCoAsSe2, relaxed; uncorrected formation energy = -1.11 eV/f.u.; calculated volume = 97.54 Å³/f.u.; magnetic moment = 0.0 Bohr magnetons per cell; space-group type = P4/mmm; raw total energy = -5.65 eV per atom
1.0
4.796 0.000 0.000
0.000 4.796 0.000
0.000 0.000 4.240
Sc Co As Se
1 1 1 2
direct
0.000 0.000 0.000 Sc
0.500 0.500 0.500 Co
0.500 0.500 0.000 As
0.000 0.500 0.500 Se
0.500 0.000 0.500 Se

***

5.
PBEsol ScCoAs2Se, relaxed; uncorrected formation energy = -0.56 eV/f.u.; E above lowest polymorph = 0.00 eV/f.u.; calculated volume = 96.27 Å³/f.u.; magnetic moment = 0.0 Bohr magnetons per cell; space-group type = P4/mmm; raw total energy = -5.79 eV per atom
1.0
4.387 0.000 0.000
0.000 4.387 0.000
0.000 0.000 5.002
Sc Co As Se
1 1 2 1
direct
0.000 0.000 0.000 Sc
0.500 0.500 0.500 Co
0.000 0.500 0.500 As
0.500 0.000 0.500 As
0.500 0.500 0.000 Se

***

6.
PBEsol ScCoAs2Se, relaxed; uncorrected formation energy = 3.63 eV/f.u.; E above lowest polymorph = 4.19 eV/f.u.; calculated volume = 122.87 Å³/f.u.; magnetic moment = 2.1 Bohr magnetons per cell; space-group type = P4/mmm; raw total energy = -4.95 eV per atom
1.0
4.980 0.000 0.000
0.000 4.980 0.000
0.000 0.000 4.955
Sc Co As Se
1 1 2 1
direct
0.000 0.000 0.000 Sc
0.500 0.500 0.500 Co
0.000 0.500 0.000 As
0.500 0.000 0.000 As
0.000 0.000 0.500 Se

***

7.
PBEsol CoAsSe, relaxed; uncorrected formation energy = -1.32 eV/f.u.; calculated volume = 45.70 Å³/f.u.; magnetic moment = 0.0 Bohr magnetons per cell; space-group type = P2_13; raw total energy = -6.01 eV per atom
1.0
5.675 0.000 0.000
0.000 5.675 0.000
0.000 0.000 5.675
Co As Se
4 4 4
direct
0.001 0.499 0.501 Co
0.499 0.501 0.001 Co
0.501 0.001 0.499 Co
0.999 0.999 0.999 Co
0.125 0.625 0.875 As
0.375 0.375 0.375 As
0.625 0.875 0.125 As
0.875 0.125 0.625 As
0.124 0.876 0.376 Se
0.376 0.124 0.876 Se
0.624 0.624 0.624 Se
0.876 0.376 0.124 Se

***

8.
PBEsol CoAsSe3, relaxed; uncorrected formation energy = 2.01 eV/f.u.; calculated volume = 95.40 Å³/f.u.; magnetic moment = 0.6 Bohr magnetons per cell; space-group type = Pm-3m; raw total energy = -4.48 eV per atom
1.0
4.569 0.000 0.000
0.000 4.569 0.000
0.000 0.000 4.569
Co As Se
1 1 3
direct
0.000 0.000 0.000 Co
0.500 0.500 0.500 As
0.000 0.000 0.500 Se
0.000 0.500 0.000 Se
0.500 0.000 0.000 Se

***

9.
PBEsol CoAsSe2, relaxed; uncorrected formation energy = -0.56 eV/f.u.; calculated volume = 68.31 Å³/f.u.; magnetic moment = 0.0 Bohr magnetons per cell; space-group type = Amm2; raw total energy = -5.28 eV per atom
1.0
3.460 0.000 0.000
0.000 2.352 4.197
0.000 -2.352 4.197
Co As Se
1 1 2
direct
0.000 0.000 0.000 Co
0.500 0.813 0.813 As
0.000 0.524 0.524 Se
0.500 0.189 0.189 Se

***

10.
PBEsol CoAsSe2, relaxed; uncorrected formation energy = 0.43 eV/f.u.; calculated volume = 86.29 Å³/f.u.; magnetic moment = 0.0 Bohr magnetons per cell; space-group type = I-42d; raw total energy = -5.03 eV per atom
1.0
-2.842 2.842 5.342
2.842 -2.842 5.342
2.842 2.842 -5.342
Co As Se
2 2 4
direct
0.000 0.000 0.000 Co
0.750 0.250 0.500 Co
0.250 0.750 0.500 As
0.500 0.500 0.000 As
0.065 0.625 0.940 Se
0.375 0.315 0.440 Se
0.685 0.125 0.060 Se
0.875 0.935 0.560 Se

***

11.
PBEsol CoAsSe, relaxed; uncorrected formation energy = -1.35 eV/f.u.; calculated volume = 46.42 Å³/f.u.; magnetic moment = 0.0 Bohr magnetons per cell; space-group type = Pbca; raw total energy = -6.01 eV per atom
1.0
5.682 0.000 0.000
0.000 5.759 0.000
0.000 0.000 11.348
Co As Se
8 8 8
direct
0.001 0.177 0.128 Co
0.001 0.323 0.628 Co
0.499 0.677 0.128 Co
0.499 0.823 0.628 Co
0.501 0.177 0.372 Co
0.501 0.323 0.872 Co
0.999 0.677 0.372 Co
0.999 0.823 0.872 Co
0.135 0.683 0.565 As
0.135 0.817 0.065 As
0.365 0.183 0.565 As
0.365 0.317 0.065 As
0.635 0.683 0.935 As
0.635 0.817 0.435 As
0.865 0.183 0.935 As
0.865 0.317 0.435 As
0.122 0.057 0.319 Se
0.122 0.443 0.819 Se
0.378 0.557 0.319 Se
0.378 0.943 0.819 Se
0.622 0.057 0.181 Se
0.622 0.443 0.681 Se
0.878 0.557 0.181 Se
0.878 0.943 0.681 Se

***

12.
PBEsol CoAsSe2, relaxed; uncorrected formation energy = 0.35 eV/f.u.; calculated volume = 69.47 Å³/f.u.; magnetic moment = 0.0 Bohr magnetons per cell; space-group type = Imm2; raw total energy = -5.05 eV per atom
1.0
-1.530 2.103 5.399
1.530 -2.103 5.399
1.530 2.103 -5.399
Co As Se
1 1 2
direct
0.000 0.000 0.000 Co
0.824 0.324 0.500 As
0.169 0.669 0.500 Se
0.479 0.479 0.000 Se

***

13.
PBEsol CoAsSe, relaxed; uncorrected formation energy = -1.18 eV/f.u.; calculated volume = 47.25 Å³/f.u.; magnetic moment = 0.0 Bohr magnetons per cell; space-group type = P2/m; raw total energy = -5.96 eV per atom
1.0
4.763 0.000 0.000
0.000 3.485 0.000
-0.115 0.000 5.694
Co As Se
2 2 2
direct
0.000 0.000 0.000 Co
0.500 0.500 0.500 Co
0.208 0.000 0.630 As
0.792 0.000 0.370 As
0.284 0.500 0.138 Se
0.716 0.500 0.862 Se

***

14.
PBEsol TaCoAsSe2, relaxed; uncorrected formation energy = 3.76 eV/f.u.; calculated volume = 119.99 Å³/f.u.; magnetic moment = 2.7 Bohr magnetons per cell; space-group type = P4/mmm; raw total energy = -5.87 eV per atom
1.0
4.897 0.000 0.000
0.000 4.897 0.000
0.000 0.000 5.003
Ta Co As Se
1 1 1 2
direct
0.000 0.000 0.000 Ta
0.500 0.500 0.500 Co
0.000 0.000 0.500 As
0.000 0.500 0.000 Se
0.500 0.000 0.000 Se

***

15.
PBEsol CoAs2WSe, relaxed; uncorrected formation energy = 5.50 eV/f.u.; calculated volume = 112.64 Å³/f.u.; magnetic moment = 2.2 Bohr magnetons per cell; space-group type = P4/mmm; raw total energy = -6.02 eV per atom
1.0
4.831 0.000 0.000
0.000 4.831 0.000
0.000 0.000 4.825
Co As W Se
1 2 1 1
direct
0.000 0.000 0.000 Co
0.000 0.500 0.500 As
0.500 0.000 0.500 As
0.500 0.500 0.500 W
0.500 0.500 0.000 Se

***

16.
PBEsol CoSi2As, relaxed; uncorrected formation energy = -0.10 eV/f.u.; calculated volume = 53.24 Å³/f.u.; magnetic moment = 0.0 Bohr magnetons per cell; space-group type = P4/mmm; raw total energy = -6.11 eV per atom
1.0
2.774 0.000 0.000
0.000 2.774 0.000
0.000 0.000 6.917
Co Si As
1 2 1
direct
0.000 0.000 0.000 Co
0.500 0.500 0.199 Si
0.500 0.500 0.801 Si
0.000 0.000 0.500 As

***

17.
PBEsol Co2SiAs, relaxed; uncorrected formation energy = -1.27 eV/f.u.; calculated volume = 47.14 Å³/f.u.; magnetic moment = 0.0 Bohr magnetons per cell; space-group type = P4mm; raw total energy = -6.90 eV per atom
1.0
3.156 0.000 0.000
0.000 3.156 0.000
0.000 0.000 4.733
Co Si As
2 1 1
direct
0.000 0.000 0.000 Co
0.500 0.500 0.340 Co
0.000 0.000 0.495 Si
0.500 0.500 0.836 As

***

18.
PBEsol CoSiAs, relaxed; uncorrected formation energy = -0.26 eV/f.u.; E above lowest polymorph = 0.00 eV/f.u.; calculated volume = 40.74 Å³/f.u.; magnetic moment = 0.0 Bohr magnetons per cell; space-group type = P3m1; raw total energy = -6.28 eV per atom
1.0
3.018 0.000 0.000
-1.509 2.614 0.000
0.000 0.000 5.165
Co Si As
1 1 1
direct
0.000 0.000 0.000 Co
0.333 0.667 0.710 Si
0.667 0.333 0.312 As

***

19.
PBEsol CoSi2As, relaxed; uncorrected formation energy = 1.34 eV/f.u.; calculated volume = 54.32 Å³/f.u.; magnetic moment = 0.0 Bohr magnetons per cell; space-group type = Pmmm; raw total energy = -5.75 eV per atom
1.0
3.358 0.000 0.000
0.000 3.725 0.000
0.000 0.000 4.343
Co Si As
1 2 1
direct
0.000 0.000 0.000 Co
0.000 0.500 0.500 Si
0.500 0.000 0.500 Si
0.500 0.500 0.000 As

***

20.
PBEsol CoSiAs, relaxed; uncorrected formation energy = -0.15 eV/f.u.; E above lowest polymorph = 0.11 eV/f.u.; calculated volume = 40.71 Å³/f.u.; magnetic moment = 0.4 Bohr magnetons per cell; space-group type = I4mm; raw total energy = -6.25 eV per atom
1.0
-1.367 1.367 5.445
1.367 -1.367 5.445
1.367 1.367 -5.445
Co Si As
1 1 1
direct
0.000 0.000 0.000 Co
0.372 0.372 0.000 Si
0.648 0.648 0.000 As

***

21.
PBEsol CoSi2As, relaxed; uncorrected formation energy = -0.10 eV/f.u.; calculated volume = 58.87 Å³/f.u.; magnetic moment = 0.0 Bohr magnetons per cell; space-group type = P2/m; raw total energy = -6.11 eV per atom
1.0
4.467 0.000 0.000
0.000 2.676 0.000
-2.219 0.000 4.925
Co Si As
1 2 1
direct
0.000 0.000 0.000 Co
0.194 0.500 0.387 Si
0.806 0.500 0.613 Si
0.500 0.000 0.000 As

***

22.
PBEsol Co3SnAs, relaxed; calculated volume = 95.35 Å³/f.u.; magnetic moment = 3.4 Bohr magnetons per cell; ΔH_f (0 K) = 1501 meV per atom; space-group type = Pm-3m; raw total energy = -5.01 eV per atom
1.0
4.569 0.000 0.000
0.000 4.569 0.000
0.000 0.000 4.569
Co Sn As
3 1 1
direct
0.000 0.000 0.500 Co
0.000 0.500 0.000 Co
0.500 0.000 0.000 Co
0.000 0.000 0.000 Sn
0.500 0.500 0.500 As

***

23.
PBEsol SrCoAs2, relaxed; calculated volume = 77.76 Å³/f.u.; magnetic moment = 1.8 Bohr magnetons per cell; ΔH_f (0 K) = 74 meV per atom; space-group type = P4/mmm; raw total energy = -4.87 eV per atom
1.0
4.356 0.000 0.000
0.000 4.356 0.000
0.000 0.000 4.098
Sr Co As
1 1 2
direct
0.000 0.000 0.000 Sr
0.500 0.500 0.000 Co
0.000 0.500 0.500 As
0.500 0.000 0.500 As

***

24.
PBEsol SrCo2As2, relaxed; calculated volume = 87.30 Å³/f.u.; magnetic moment = 0.9 Bohr magnetons per cell; ΔH_f (0 K) = -648 meV per atom; space-group type = I4/mmm; raw total energy = -6.15 eV per atom
1.0
-1.952 1.952 5.730
1.952 -1.952 5.730
1.952 1.952 -5.730
Sr Co As
1 2 2
direct
0.000 0.000 0.000 Sr
0.250 0.750 0.500 Co
0.750 0.250 0.500 Co
0.356 0.356 0.000 As
0.644 0.644 0.000 As

***

25.
PBEsol SrCoAs2, relaxed; calculated volume = 77.29 Å³/f.u.; magnetic moment = 0.0 Bohr magnetons per cell; ΔH_f (0 K) = -128 meV per atom; space-group type = P4mm; raw total energy = -5.08 eV per atom
1.0
3.343 0.000 0.000
0.000 3.343 0.000
0.000 0.000 6.918
Sr Co As
1 1 2
direct
0.000 0.000 0.000 Sr
0.500 0.500 0.633 Co
0.000 0.000 0.557 As
0.500 0.500 0.295 As

***

26.
PBEsol TaCo2As, relaxed; calculated volume = 52.63 Å³/f.u.; magnetic moment = 0.0 Bohr magnetons per cell; ΔH_f (0 K) = -66 meV per atom; space-group type = P4mm; raw total energy = -8.35 eV per atom
1.0
3.179 0.000 0.000
0.000 3.179 0.000
0.000 0.000 5.209
Ta Co As
1 2 1
direct
0.000 0.000 0.000 Ta
0.000 0.000 0.511 Co
0.500 0.500 0.785 Co
0.500 0.500 0.337 As

***

27.
PBEsol TaCo2As, relaxed; calculated volume = 51.01 Å³/f.u.; magnetic moment = 0.0 Bohr magnetons per cell; ΔH_f (0 K) = -160 meV per atom; space-group type = I-4m2; raw total energy = -8.44 eV per atom
1.0
-1.817 1.817 3.864
1.817 -1.817 3.864
1.817 1.817 -3.864
Ta Co As
1 2 1
direct
0.000 0.000 0.000 Ta
0.250 0.750 0.500 Co
0.500 0.500 0.000 Co
0.750 0.250 0.500 As

***

28.
PBEsol TaCoAs2, relaxed; calculated volume = 64.93 Å³/f.u.; magnetic moment = 0.3 Bohr magnetons per cell; ΔH_f (0 K) = -160 meV per atom; space-group type = P4mm; raw total energy = -7.79 eV per atom
1.0
2.840 0.000 0.000
0.000 2.840 0.000
0.000 0.000 8.052
Ta Co As
1 1 2
direct
0.000 0.000 0.000 Ta
0.500 0.500 0.780 Co
0.000 0.000 0.611 As
0.500 0.500 0.246 As